# 1
Mg2B2Rh5W, optimized geometry, DFT PBE-GGA; electronic total energy = -7.079 eV per atom; SG = P4/mbm (127); D(E_F) = 5.02 states/eV/cell; energy of formation = -0.453 eV per atom; total magnetic moment = 0.0 Bohr magnetons per cell
1.0
2.882 0.000 0.000
0.000 9.671 0.000
0.000 0.000 9.671
Mg B Rh W
4 4 10 2
Cartesian
0.000 6.548 1.713 Mg
0.000 3.122 7.958 Mg
0.000 1.713 3.122 Mg
0.000 7.958 6.548 Mg
0.000 1.165 6.001 B
0.000 8.506 3.670 B
0.000 6.001 8.506 B
0.000 3.670 1.165 B
1.441 2.137 0.695 Rh
1.441 7.534 8.976 Rh
1.441 0.695 7.534 Rh
1.441 6.972 4.140 Rh
1.441 8.976 2.137 Rh
1.441 2.699 5.530 Rh
1.441 5.530 6.972 Rh
1.441 4.140 2.699 Rh
1.441 4.835 0.000 Rh
1.441 0.000 4.835 Rh
0.000 0.000 0.000 W
0.000 4.835 4.835 W



# 2
InFeCu2Pb, optimized geometry, DFT PBE-GGA; electronic total energy = -3.744 eV per atom; SG = P4/mmm (123); D(E_F) = 4.45 states/eV/cell; energy of formation = 0.877 eV per atom; total magnetic moment = 2.9 Bohr magnetons per cell
1.0
-3.593 -2.930 1.370
-0.197 -1.915 -4.612
3.228 -3.370 1.262
Pb Fe Cu In
1 1 2 1
Cartesian
-0.281 -4.107 -0.990 Pb
-0.098 -0.958 -2.306 Fe
1.614 -1.685 0.631 Cu
-1.797 -1.465 0.685 Cu
0.000 0.000 0.000 In



# 3
MnFe2Ni, optimized geometry, DFT PBE-GGA; electronic total energy = -7.910 eV per atom; SG = Cm (8); D(E_F) = 5.14 states/eV/cell; energy of formation = 0.059 eV per atom; total magnetic moment = 2.4 Bohr magnetons per cell
1.0
-2.910 -3.207 0.204
-0.786 -4.096 1.185
-1.579 0.710 4.061
Fe Mn Ni
2 1 1
Cartesian
-0.017 0.007 0.043 Fe
-3.939 -4.947 4.047 Fe
-2.645 -3.288 2.749 Mn
-1.312 -1.662 1.336 Ni



# 4
La6Rh2CI3, optimized geometry, DFT PBE-GGA; electronic total energy = -5.741 eV per atom; ΔE_f (raw) = -0.8955 eV per atom; SG = C2/m (12); D(E_F) = 11.15 states/eV/cell; total magnetic moment = 0.0 Bohr magnetons per cell
1.0
-3.051 -5.232 -3.959
5.288 4.051 -2.827
4.791 -4.914 4.999
La Rh C I
6 2 1 3
Cartesian
4.389 -6.412 -1.393 La
2.534 -1.767 -4.172 La
2.639 0.317 -0.394 La
6.992 -3.514 -1.039 La
4.493 -4.327 2.385 La
0.036 -2.581 -0.747 La
2.508 0.957 -3.204 Rh
-0.271 -2.138 -3.582 Rh
0.000 0.000 0.000 C
6.273 0.024 -0.518 I
0.755 -6.119 -1.268 I
3.514 -3.047 -0.893 I



# 5
Y2ErSn, optimized geometry, DFT PBE-GGA; electronic total energy = -5.783 eV per atom; SG = P4/mmm (123); D(E_F) = 5.05 states/eV/cell; energy of formation = -0.409 eV per atom; polymorph energy (0 for the lowest one) = 0.000 eV/atom; total magnetic moment = 0.0 Bohr magnetons per cell
1.0
4.787 0.000 0.000
0.000 4.817 0.000
0.000 0.000 4.817
Y Sn Er
2 1 1
Cartesian
0.000 0.000 2.409 Y
0.000 2.409 0.000 Y
2.394 0.000 0.000 Sn
2.394 2.409 2.409 Er



# 6
Co2BrCl, optimized geometry, DFT PBE-GGA; electronic total energy = -4.231 eV per atom; ΔE_f (raw) = 0.2016 eV per atom; SG = C2/m (12); D(E_F) = 4.49 states/eV/cell; total magnetic moment = 4.1 Bohr magnetons per cell
1.0
4.620 -0.006 0.006
3.397 3.131 0.006
3.820 1.489 5.469
Co Br Cl
2 1 1
Cartesian
0.724 0.282 0.649 Co
5.194 2.025 2.091 Co
8.878 3.460 4.111 Br
2.959 1.153 1.370 Cl



# 7
Nd2Sm2Tm7, optimized geometry, DFT PBE-GGA; electronic total energy = -4.418 eV per atom; SG = C2/m (12); D(E_F) = 17.46 states/eV/cell; energy of formation = 0.152 eV per atom; total magnetic moment = 0.0 Bohr magnetons per cell
1.0
5.724 1.118 1.614
0.496 7.924 1.301
0.496 -1.564 7.876
Nd Sm Tm
2 2 7
Cartesian
5.039 3.458 4.990 Nd
1.676 4.020 5.802 Nd
3.358 0.983 7.306 Sm
3.358 6.495 3.486 Sm
1.340 -0.208 5.013 Tm
5.376 2.711 9.226 Tm
5.376 7.687 5.778 Tm
1.340 4.767 1.565 Tm
0.000 0.000 0.000 Tm
4.057 5.526 7.974 Tm
2.659 1.952 2.817 Tm



# 8
SrCdH2F, optimized geometry, DFT PBE-GGA; electronic total energy = -2.307 eV per atom; SG = P4/mmm (123); D(E_F) = 2.88 states/eV/cell; total magnetic moment = 0.0 Bohr magnetons per cell
1.0
4.947 0.000 0.000
0.000 4.947 0.000
0.000 0.000 4.118
Sr F H Cd
1 1 2 1
Cartesian
2.473 2.473 2.059 Sr
0.000 0.000 0.000 F
0.000 2.473 0.000 H
2.473 0.000 0.000 H
0.000 0.000 2.059 Cd



# 9
NdErP, optimized geometry, DFT PBE-GGA; electronic total energy = -5.842 eV per atom; SG = P3m1 (156); D(E_F) = 4.04 states/eV/cell; energy of formation = -0.928 eV per atom; total magnetic moment = 0.1 Bohr magnetons per cell
1.0
-0.928 -2.847 -2.579
-1.158 -0.292 3.767
-5.531 3.125 -1.459
P Nd Er
1 1 1
Cartesian
-2.904 -0.923 -0.964 P
-0.453 0.256 -0.119 Nd
-4.262 0.653 0.813 Er



# 10
RhSe, optimized geometry, DFT PBE-GGA; electronic total energy = -5.245 eV per atom; ΔE_f (raw) = 0.1731 eV per atom; SG = I4_1/amd (141); D(E_F) = 3.62 states/eV/cell; total magnetic moment = 0.0 Bohr magnetons per cell
1.0
5.247 0.006 0.000
2.532 4.596 0.000
-3.890 -2.301 2.666
Rh Se
2 2
Cartesian
0.000 0.000 0.000 Rh
1.266 2.298 1.333 Rh
3.890 2.301 0.000 Se
2.624 0.003 1.333 Se



# 11
La3CePr3Se8, optimized geometry, DFT PBE-GGA; electronic total energy = -6.115 eV per atom; ΔE_f (raw) = -1.9197 eV per atom; SG = R-3m (166); D(E_F) = 13.65 states/eV/cell; total magnetic moment = 1.5 Bohr magnetons per cell
1.0
-2.581 3.003 7.552
-5.678 -1.358 -6.215
3.707 -6.679 3.923
La Ce Pr Se
3 1 3 8
Cartesian
0.000 0.000 0.000 La
-2.839 -0.679 -3.107 La
-4.130 0.822 0.669 La
1.853 -3.339 1.961 Ce
0.563 -1.838 5.737 Pr
-2.276 -2.517 2.630 Pr
-0.986 -4.019 -1.146 Pr
-2.559 -1.607 -0.235 Se
-1.994 -3.427 5.495 Se
-3.854 -0.111 3.541 Se
-0.698 -4.924 1.719 Se
-1.010 0.570 6.654 Se
-3.542 -5.604 -1.394 Se
0.283 -0.934 2.871 Se
-4.835 -4.100 2.389 Se



# 12
HPt2F, optimized geometry, DFT PBE-GGA; electronic total energy = -4.218 eV per atom; SG = I-42d (122); D(E_F) = 5.58 states/eV/cell; polymorph energy (0 for the lowest one) = 0.000 eV/atom; total magnetic moment = 1.8 Bohr magnetons per cell
1.0
-3.975 2.096 1.777
-2.585 -1.790 -3.669
-4.132 -3.472 1.423
H Pt F
2 4 2
Cartesian
-3.280 0.153 -0.946 H
-4.998 -2.555 -1.596 H
-3.445 0.010 0.831 Pt
-3.540 -1.517 -1.539 Pt
-5.815 -2.667 -0.007 Pt
-8.581 -2.159 -0.224 Pt
0.000 0.000 0.000 F
-5.693 -0.612 1.127 F



# 13
SbTeH2Br, optimized geometry, DFT PBE-GGA; electronic total energy = -2.593 eV per atom; SG = P4/mmm (123); D(E_F) = 2.08 states/eV/cell; total magnetic moment = 0.0 Bohr magnetons per cell
1.0
4.072 0.000 0.000
0.000 8.547 0.000
0.000 0.000 4.072
Sb Te Br H
1 1 1 2
Cartesian
0.000 4.273 0.000 Sb
2.036 4.273 2.036 Te
0.000 0.000 0.000 Br
0.000 0.000 2.036 H
2.036 0.000 0.000 H



# 14
Pm2As3Rh5, optimized geometry, DFT PBE-GGA; electronic total energy = -6.781 eV per atom; SG = Cmc2_1 (36); D(E_F) = 13.55 states/eV/cell; energy of formation = -0.760 eV per atom; total magnetic moment = 0.0 Bohr magnetons per cell
1.0
-3.146 -2.605 0.976
0.639 -3.017 -5.995
9.792 -6.772 4.452
Pm As Rh
4 6 10
Cartesian
8.418 -10.130 0.091 Pm
3.381 -5.078 -2.657 Pm
3.885 -7.227 2.268 Pm
-1.095 -2.438 -1.003 Pm
3.438 -7.850 -0.839 As
0.590 -4.679 -1.554 As
1.470 -3.811 -5.437 As
3.758 -4.122 1.109 As
6.123 -10.036 1.982 As
6.406 -6.350 3.698 As
6.852 -7.708 1.511 Rh
4.825 -5.905 -0.209 Rh
2.763 -7.921 -3.204 Rh
2.190 -2.747 -0.274 Rh
5.479 -7.513 -2.394 Rh
5.746 -8.777 4.126 Rh
1.987 -5.735 0.130 Rh
5.094 -9.642 -0.285 Rh
1.373 -2.828 -3.125 Rh
0.636 -5.643 -3.981 Rh



# 15
Nd3Y4Er2, optimized geometry, DFT PBE-GGA; electronic total energy = -5.457 eV per atom; SG = C2/m (12); D(E_F) = 12.06 states/eV/cell; energy of formation = 0.019 eV per atom; polymorph energy (0 for the lowest one) = 0.000 eV/atom; total magnetic moment = 0.0 Bohr magnetons per cell
1.0
-1.284 1.851 -2.798
3.626 -4.492 -2.329
-7.599 -12.372 -4.698
Nd Y Er
3 4 2
Cartesian
-2.257 -9.276 -5.100 Nd
0.000 0.000 0.000 Nd
-2.999 -5.737 -4.725 Nd
-0.493 -1.641 -3.165 Y
-5.074 -8.279 -3.148 Y
-0.182 -6.735 -6.676 Y
-4.763 -13.372 -6.660 Y
0.314 -5.103 -3.520 Er
-5.571 -9.910 -6.305 Er



# 16
TaIn2Fe, optimized geometry, DFT PBE-GGA; electronic total energy = -5.949 eV per atom; SG = F-43m (216); D(E_F) = 2.47 states/eV/cell; energy of formation = 0.499 eV per atom; polymorph energy (0 for the lowest one) = 0.397 eV/atom; total magnetic moment = 1.0 Bohr magnetons per cell
1.0
-1.293 1.365 4.286
-4.463 1.123 0.851
-2.655 -2.803 2.647
Fe In Ta
1 2 1
Cartesian
-4.206 -0.157 3.892 Fe
0.000 0.000 0.000 In
-2.103 -0.079 1.946 In
-6.308 -0.236 5.838 Ta



# 17
Dy2Ga2Pb, optimized geometry, DFT PBE-GGA; electronic total energy = -4.358 eV per atom; SG = P4/mbm (127); D(E_F) = 3.33 states/eV/cell; energy of formation = -0.565 eV per atom; polymorph energy (0 for the lowest one) = 0.000 eV/atom; total magnetic moment = 0.0 Bohr magnetons per cell
1.0
-1.281 2.001 -3.663
2.470 -5.743 -4.002
-6.652 -3.247 0.553
Dy Ga Pb
4 4 2
Cartesian
-4.687 -2.171 -2.149 Dy
-4.487 -5.548 -4.064 Dy
-0.776 -4.818 -4.963 Dy
-0.976 -1.441 -3.048 Dy
-4.909 -5.026 -1.029 Ga
-1.964 -7.063 -3.172 Ga
0.727 -3.964 -2.420 Ga
-2.218 -1.927 -0.277 Ga
0.000 0.000 0.000 Pb
-2.091 -4.495 -1.724 Pb



# 18
YZrRe2, optimized geometry, DFT PBE-GGA; electronic total energy = -9.972 eV per atom; SG = P4mm (99); D(E_F) = 2.82 states/eV/cell; energy of formation = 0.005 eV per atom; polymorph energy (0 for the lowest one) = 0.000 eV/atom; total magnetic moment = 0.0 Bohr magnetons per cell
1.0
-1.227 2.846 0.107
-0.690 -0.410 2.995
7.706 3.238 2.219
Re Y Zr
2 1 1
Cartesian
0.280 0.118 0.081 Re
0.602 1.873 2.000 Re
3.480 1.462 1.002 Y
5.281 3.840 3.348 Zr



# 19
Er12Ni6Os, optimized geometry, DFT PBE-GGA; electronic total energy = -5.506 eV per atom; SG = R-3 (148); D(E_F) = 15.56 states/eV/cell; energy of formation = -0.207 eV per atom; polymorph energy (0 for the lowest one) = 0.090 eV/atom; total magnetic moment = 0.0 Bohr magnetons per cell
1.0
-1.542 4.103 6.630
-6.744 1.382 -3.972
-1.534 -7.339 2.636
Er Ni Os
12 6 1
Cartesian
-5.898 1.056 4.212 Er
-7.090 -1.454 1.121 Er
-5.038 -3.007 4.385 Er
-3.922 -2.911 1.082 Er
-2.730 -0.401 4.173 Er
-4.783 1.152 0.909 Er
-7.068 -0.675 -2.299 Er
-6.018 -5.514 0.017 Er
-7.218 3.674 1.009 Er
-2.752 -1.180 7.593 Er
-3.803 3.659 5.277 Er
-2.603 -5.529 4.285 Er
-7.453 1.154 2.056 Ni
-3.351 1.980 3.161 Ni
-4.871 -0.971 -0.691 Ni
-2.367 -3.009 3.239 Ni
-6.469 -3.835 2.133 Ni
-4.950 -0.883 5.986 Ni
0.000 0.000 0.000 Os



# 20
KYCu2, optimized geometry, DFT PBE-GGA; electronic total energy = -3.601 eV per atom; SG = Imm2 (44); D(E_F) = 2.58 states/eV/cell; energy of formation = 0.338 eV per atom; polymorph energy (0 for the lowest one) = 0.275 eV/atom; total magnetic moment = 0.0 Bohr magnetons per cell
1.0
6.265 -0.002 0.021
3.277 5.340 -0.021
-4.151 -3.777 2.784
Cu K Y
2 1 1
Cartesian
9.231 5.164 0.000 Cu
3.867 -0.318 1.403 Cu
4.967 2.778 0.000 K
1.641 1.943 1.382 Y



# 21
EuTmTlAg, optimized geometry, DFT PBE-GGA; electronic total energy = -5.290 eV per atom; SG = F-43m (216); D(E_F) = 10.45 states/eV/cell; energy of formation = -0.300 eV per atom; total magnetic moment = 6.9 Bohr magnetons per cell
1.0
5.341 0.000 0.000
2.670 4.625 0.000
2.670 1.542 4.361
Eu Tl Tm Ag
1 1 1 1
Cartesian
0.000 0.000 0.000 Eu
8.011 4.625 3.270 Tl
5.341 3.083 2.180 Tm
2.670 1.542 1.090 Ag



# 22
LaVSb2I, optimized geometry, DFT PBE-GGA; electronic total energy = -4.983 eV per atom; ΔE_f (raw) = -0.2143 eV per atom; SG = P4/mmm (123); D(E_F) = 4.08 states/eV/cell; total magnetic moment = 1.8 Bohr magnetons per cell
1.0
-0.524 5.158 -0.095
-4.975 -0.479 1.383
1.471 0.249 5.378
I Sb V La
1 2 1 1
Cartesian
0.735 0.124 2.689 I
-2.487 -0.240 0.691 Sb
-0.262 2.579 -0.048 Sb
0.000 0.000 0.000 V
-2.014 2.464 3.333 La



# 23
NaSr2Tl4, optimized geometry, DFT PBE-GGA; electronic total energy = -2.296 eV per atom; SG = C2/m (12); D(E_F) = 3.83 states/eV/cell; energy of formation = -0.275 eV per atom; polymorph energy (0 for the lowest one) = 0.000 eV/atom; total magnetic moment = 0.0 Bohr magnetons per cell
1.0
4.802 -0.209 2.367
1.980 4.380 2.367
0.518 0.318 10.998
Na Sr Tl
1 2 4
Cartesian
0.000 0.000 0.000 Na
6.172 3.795 11.958 Sr
1.128 0.694 3.775 Sr
4.624 2.843 8.969 Tl
2.676 1.646 6.764 Tl
4.155 2.555 3.872 Tl
3.145 1.934 11.860 Tl



# 24
Cu3PdS, optimized geometry, DFT PBE-GGA; electronic total energy = -4.059 eV per atom; ΔE_f (raw) = 0.2631 eV per atom; SG = Pm-3m (221); D(E_F) = 2.97 states/eV/cell; polymorph energy (0 for the lowest one) = 0.000 eV/atom; total magnetic moment = 0.0 Bohr magnetons per cell
1.0
-0.361 -3.612 -2.258
3.061 -1.796 2.384
-2.963 -1.416 2.738
S Cu Pd
1 3 1
Cartesian
0.000 0.000 0.000 S
1.531 -0.898 1.192 Cu
-1.481 -0.708 1.369 Cu
-0.180 -1.806 -1.129 Cu
-0.131 -3.412 1.432 Pd